A) The following is a PBE calculation of a relaxed ErTmMgAg crystal, from Alexandria via LeMat-Bulk.

Unit cell a=3.6915 b=3.6915 c=7.2470 alpha=90.00 beta=90.00 gamma=90.00
Space group P4mm (No. 99)
Inequivalent atoms, fractional coordinates:
1 Er 0.0000 0.0000 0.0000
2 Tm 0.0000 0.0000 0.4789
3 Mg 0.5000 0.5000 0.7381
4 Ag 0.5000 0.5000 0.2420

Calculated values
DOS(E_F)	3.83	states/eV/cell

B) The following is a PBE calculation of a relaxed ErTmMgAg crystal, from Alexandria via LeMat-Bulk.

Unit cell a=7.3418 b=7.3418 c=7.3418 alpha=90.00 beta=90.00 gamma=90.00
Space group F-43m (No. 216)
Inequivalent atoms, fractional coordinates:
1 Er 0.0000 0.0000 0.0000
2 Tm 0.0000 0.0000 0.5000
3 Mg 0.2500 0.2500 0.7500
4 Ag 0.2500 0.2500 0.2500

Calculated values
DOS(E_F)	17.04	states/eV/cell

Which one sits at the top of the stability order? A) does.

A) The following is a PBE calculation of a relaxed YErMgAg crystal, from Alexandria via LeMat-Bulk.

Unit cell a=3.7156 b=3.7156 c=7.3087 alpha=90.00 beta=90.00 gamma=90.00
Space group P4mm (No. 99)
Inequivalent atoms, fractional coordinates:
1 Y 0.0000 0.0000 0.0000
2 Er 0.0000 0.0000 0.4807
3 Mg 0.5000 0.5000 0.7374
4 Ag 0.5000 0.5000 0.2491

Calculated values
DOS(E_F)	3.93	states/eV/cell

B) The following is a PBE calculation of a relaxed YErMgAg crystal, from Alexandria via LeMat-Bulk.

Unit cell a=7.3970 b=7.3970 c=7.3970 alpha=90.00 beta=90.00 gamma=90.00
Space group F-43m (No. 216)
Inequivalent atoms, fractional coordinates:
1 Y 0.0000 0.0000 0.0000
2 Er 0.0000 0.0000 0.5000
3 Mg 0.2500 0.2500 0.2500
4 Ag 0.2500 0.2500 0.7500

Calculated values
DOS(E_F)	18.07	states/eV/cell

Which one sits at the top of the stability order? A) does.

A) The following is a PBE calculation of a relaxed NaEr2Ag crystal, from Alexandria via LeMat-Bulk.

Unit cell a=3.4084 b=3.4084 c=34.9796 alpha=90.00 beta=90.00 gamma=120.00
Space group R-3m (No. 166, hexagonal axes)
Inequivalent atoms, fractional coordinates:
1 Na 0.0000 0.0000 0.0000
2 Er 0.0000 0.0000 0.0989
3 Ag 0.0000 0.0000 0.5000

Calculated values
DOS(E_F)	11.20	states/eV/cell

B) The following is a PBE calculation of a relaxed NaEr2Ag crystal, from Alexandria via LeMat-Bulk.

Unit cell a=3.5291 b=3.5291 c=9.3735 alpha=90.00 beta=90.00 gamma=90.00
Space group P4/mmm (No. 123)
Inequivalent atoms, fractional coordinates:
1 Na 0.0000 0.0000 0.0000
2 Er 0.5000 0.5000 0.3093
3 Ag 0.0000 0.0000 0.5000

Calculated values
DOS(E_F)	3.01	states/eV/cell

Which one sits at the top of the stability order? B) does.

A) The following is a PBE calculation of a relaxed NdEr4Ag crystal, from Alexandria via LeMat-Bulk.

Unit cell a=5.3740 b=21.0434 c=6.4625 alpha=90.00 beta=90.00 gamma=90.00
Space group Cmc2_1 (No. 36)
Inequivalent atoms, fractional coordinates:
1 Nd 0.0000 0.1363 0.0000
2 Er 0.0000 0.0671 0.5108
3 Er 0.0000 0.2602 0.6337
4 Er 0.0000 0.3256 0.1431
5 Er 0.0000 0.4655 0.3523
6 Ag 0.0000 0.3994 0.7601

Calculated values
DOS(E_F)	37.17	states/eV/cell

B) The following is a PBE calculation of a relaxed NdEr4Ag crystal, from Alexandria via LeMat-Bulk.

Unit cell a=3.5536 b=3.5536 c=13.8291 alpha=90.00 beta=90.00 gamma=90.00
Space group P4/mmm (No. 123)
Inequivalent atoms, fractional coordinates:
1 Nd 0.0000 0.0000 0.0000
2 Er 0.0000 0.0000 0.3648
3 Er 0.5000 0.5000 0.1844
4 Ag 0.5000 0.5000 0.5000

Calculated values
DOS(E_F)	8.26	states/eV/cell

Which one sits at the top of the stability order? B) does.

A) The following is a PBE calculation of a relaxed NdErAg4 crystal, from Alexandria via LeMat-Bulk.

Unit cell a=8.1165 b=8.1165 c=8.1165 alpha=90.00 beta=90.00 gamma=90.00
Space group F-43m (No. 216)
Inequivalent atoms, fractional coordinates:
1 Nd 0.0000 0.0000 0.0000
2 Er 0.2500 0.2500 0.2500
3 Ag 0.1246 0.1246 0.6246

Calculated values
DOS(E_F)	18.13	states/eV/cell

B) The following is a PBE calculation of a relaxed NdErAg4 crystal, from Alexandria via LeMat-Bulk.

Unit cell a=5.3433 b=9.4027 c=5.3375 alpha=90.00 beta=90.00 gamma=90.00
Space group Cmmm (No. 65)
Inequivalent atoms, fractional coordinates:
1 Nd 0.0000 0.0000 0.0000
2 Er 0.0000 0.5000 0.5000
3 Ag 0.0000 0.1756 0.5000
4 Ag 0.0000 0.3319 0.0000

Calculated values
DOS(E_F)	5.90	states/eV/cell

Which one sits at the top of the stability order? B) does.

A) The following is a PBE calculation of a relaxed PmNdErAg crystal, from Alexandria via LeMat-Bulk.

Unit cell a=7.7254 b=7.7254 c=7.7254 alpha=90.00 beta=90.00 gamma=90.00
Space group F-43m (No. 216)
Inequivalent atoms, fractional coordinates:
1 Pm 0.0000 0.0000 0.0000
2 Nd 0.2500 0.2500 0.2500
3 Er 0.2500 0.2500 0.7500
4 Ag 0.0000 0.0000 0.5000

Calculated values
DOS(E_F)	28.46	states/eV/cell

B) The following is a PBE calculation of a relaxed PmNdErAg crystal, from Alexandria via LeMat-Bulk.

Unit cell a=3.6670 b=3.6670 c=8.7263 alpha=90.00 beta=90.00 gamma=90.00
Space group P4mm (No. 99)
Inequivalent atoms, fractional coordinates:
1 Pm 0.0000 0.0000 0.0000
2 Nd 0.5000 0.5000 0.2954
3 Er 0.0000 0.0000 0.5823
4 Ag 0.5000 0.5000 0.7740

Calculated values
DOS(E_F)	5.55	states/eV/cell

Which one sits at the top of the stability order? B) does.

A) The following is a PBE calculation of a relaxed NdErTlAg crystal, from Alexandria via LeMat-Bulk.

Unit cell a=3.6795 b=3.6795 c=7.8574 alpha=90.00 beta=90.00 gamma=90.00
Space group P4mm (No. 99)
Inequivalent atoms, fractional coordinates:
1 Nd 0.0000 0.0000 0.0000
2 Er 0.0000 0.0000 0.5304
3 Tl 0.5000 0.5000 0.2751
4 Ag 0.5000 0.5000 0.7365

Calculated values
DOS(E_F)	3.03	states/eV/cell

B) The following is a PBE calculation of a relaxed NdErTlAg crystal, from Alexandria via LeMat-Bulk.

Unit cell a=7.5400 b=7.5400 c=7.5400 alpha=90.00 beta=90.00 gamma=90.00
Space group F-43m (No. 216)
Inequivalent atoms, fractional coordinates:
1 Nd 0.0000 0.0000 0.0000
2 Er 0.0000 0.0000 0.5000
3 Tl 0.2500 0.2500 0.2500
4 Ag 0.2500 0.2500 0.7500

Calculated values
DOS(E_F)	13.75	states/eV/cell

Which one sits at the top of the stability order? A) does.

A) The following is a PBE calculation of a relaxed Er4NiAg crystal, from Alexandria via LeMat-Bulk.

Unit cell a=9.3429 b=9.3429 c=8.1388 alpha=90.00 beta=90.00 gamma=90.00
Space group I4_1md (No. 109)
Inequivalent atoms, fractional coordinates:
1 Er 0.0000 0.1942 0.0000
2 Er 0.0000 0.2134 0.4585
3 Ni 0.0000 0.0000 0.2360
4 Ag 0.0000 0.0000 0.7202

Calculated values
DOS(E_F)	36.13	states/eV/cell

B) The following is a PBE calculation of a relaxed Er4NiAg crystal, from Alexandria via LeMat-Bulk.

Unit cell a=13.2348 b=13.2348 c=13.2348 alpha=90.00 beta=90.00 gamma=90.00
Space group F-43m (No. 216)
Inequivalent atoms, fractional coordinates:
1 Er 0.0000 0.0000 0.1858
2 Er 0.0613 0.2500 0.7500
3 Er 0.1005 0.1005 0.3995
4 Ni 0.1068 0.1068 0.6068
5 Ag 0.1677 0.1677 0.1677

Calculated values
DOS(E_F)	86.32	states/eV/cell

Which one sits at the top of the stability order? B) does.

A) The following is a PBE calculation of a relaxed Er3NiAg2 crystal, from Alexandria via LeMat-Bulk.

Unit cell a=14.3467 b=5.7647 c=6.7318 alpha=90.00 beta=102.55 gamma=90.00
Space group C2/c (No. 15)
Inequivalent atoms, fractional coordinates:
1 Er 0.0000 0.1504 0.2500
2 Er 0.1618 0.4085 0.6370
3 Ni 0.0000 0.3531 0.7500
4 Ag 0.1619 0.1021 0.0004

Calculated values
DOS(E_F)	19.04	states/eV/cell

B) The following is a PBE calculation of a relaxed Er3NiAg2 crystal, from Alexandria via LeMat-Bulk.

Unit cell a=4.9726 b=4.9726 c=6.1342 alpha=90.00 beta=90.00 gamma=120.00
Space group P-3m1 (No. 164)
Inequivalent atoms, fractional coordinates:
1 Er 0.0000 0.0000 0.0000
2 Er 0.3333 0.6667 0.6489
3 Ni 0.0000 0.0000 0.5000
4 Ag 0.3333 0.6667 0.1561

Calculated values
DOS(E_F)	3.77	states/eV/cell

Which one sits at the top of the stability order? B) does.

A) The following is a PBE calculation of a relaxed Er8NiAg2 crystal, from Alexandria via LeMat-Bulk.

Unit cell a=17.2365 b=5.1653 c=6.7297 alpha=90.00 beta=107.33 gamma=90.00
Space group C2/m (No. 12)
Inequivalent atoms, fractional coordinates:
1 Er 0.0269 0.0000 0.2873
2 Er 0.0897 0.5000 0.9320
3 Er 0.1576 0.5000 0.4665
4 Er 0.2008 0.0000 0.8083
5 Ni 0.0000 0.5000 0.5000
6 Ag 0.1850 0.0000 0.2202

Calculated values
DOS(E_F)	21.69	states/eV/cell

B) The following is a PBE calculation of a relaxed Er8NiAg2 crystal, from Alexandria via LeMat-Bulk.

Unit cell a=7.3452 b=15.8725 c=5.9339 alpha=90.00 beta=121.73 gamma=90.00
Space group Cm (No. 8)
Inequivalent atoms, fractional coordinates:
1 Er 0.0000 0.0000 0.0000
2 Er 0.0037 0.1120 0.4873
3 Er 0.2285 0.3039 0.7959
4 Er 0.4579 0.0000 0.6376
5 Er 0.4618 0.1141 0.1276
6 Ni 0.2267 0.5000 0.4853
7 Ag 0.2262 0.2202 0.2947

Calculated values
DOS(E_F)	21.19	states/eV/cell

Which one sits at the top of the stability order? A) does.

A) The following is a PBE calculation of a relaxed Er7Ni2Ag2 crystal, from Alexandria via LeMat-Bulk.

Unit cell a=3.6135 b=15.7979 c=9.5369 alpha=90.00 beta=90.00 gamma=90.00
Space group Imm2 (No. 44)
Inequivalent atoms, fractional coordinates:
1 Er 0.0000 0.0000 0.0000
2 Er 0.0000 0.1258 0.4177
3 Er 0.0000 0.3110 0.6115
4 Er 0.0000 0.3585 0.2623
5 Ni 0.0000 0.2425 0.9111
6 Ag 0.0000 0.0000 0.6612
7 Ag 0.0000 0.5000 0.7550

Calculated values
DOS(E_F)	26.89	states/eV/cell

B) The following is a PBE calculation of a relaxed Er7Ni2Ag2 crystal, from Alexandria via LeMat-Bulk.

Unit cell a=7.6484 b=10.8286 c=6.9031 alpha=90.00 beta=90.00 gamma=90.00
Space group Cmmm (No. 65)
Inequivalent atoms, fractional coordinates:
1 Er 0.0000 0.0000 0.0000
2 Er 0.0000 0.5000 0.2433
3 Er 0.2500 0.2500 0.2496
4 Ni 0.0000 0.2938 0.0000
5 Ag 0.1809 0.0000 0.5000

Calculated values
DOS(E_F)	22.33	states/eV/cell

Which one sits at the top of the stability order? A) does.

A) The following is a PBE calculation of a relaxed ErTmNiAg crystal, from Alexandria via LeMat-Bulk.

Unit cell a=6.9487 b=6.9487 c=6.9487 alpha=90.00 beta=90.00 gamma=90.00
Space group F-43m (No. 216)
Inequivalent atoms, fractional coordinates:
1 Er 0.0000 0.0000 0.0000
2 Tm 0.0000 0.0000 0.5000
3 Ni 0.2500 0.2500 0.7500
4 Ag 0.2500 0.2500 0.2500

Calculated values
DOS(E_F)	14.60	states/eV/cell

B) The following is a PBE calculation of a relaxed ErTmNiAg crystal, from Alexandria via LeMat-Bulk.

Unit cell a=3.4298 b=3.4298 c=7.1300 alpha=90.00 beta=90.00 gamma=90.00
Space group P4mm (No. 99)
Inequivalent atoms, fractional coordinates:
1 Er 0.0000 0.0000 0.0000
2 Tm 0.0000 0.0000 0.5467
3 Ni 0.5000 0.5000 0.7716
4 Ag 0.5000 0.5000 0.2757

Calculated values
DOS(E_F)	3.92	states/eV/cell

Which one sits at the top of the stability order? B) does.